The following is a PBE calculation of crystalline Pm5NdRh2 at its relaxed geometry, from the Alexandria database.

Calculated values
- ΔE_f: -332 meV per atom

Geometry as CIF:
```
data_Pm5NdRh2
_chemical_formula_sum 'Pm10 Nd2 Rh4'
_cell_length_a 4.127
_cell_length_b 7.413
_cell_length_c 16.155
_cell_angle_alpha 90.00
_cell_angle_beta 90.00
_cell_angle_gamma 90.00
_space_group_name_H-M_alt 'I m m m'
_space_group_IT_number 71
_space_group_name_Hall '-I 2 2'
loop_
_atom_site_label
_atom_site_type_symbol
_atom_site_fract_x
_atom_site_fract_y
_atom_site_fract_z
Pm1 Pm 0.000 0.000 0.000
Pm2 Pm 0.000 0.246 0.342
Nd1 Nd 0.000 0.500 0.000
Rh1 Rh 0.000 0.000 0.185
```